Ba2CdPd2: optimized geometry, PBE-GGA.

Cell: 6.0376 6.0376 6.0376 Å, 117.97 117.97 93.56°
Last column: nearest neighbours and their distance in Å.
Element x y z (fractional)
Ba: 0.2500 0.7500 0.5000  4 Pd 3.19
Ba: 0.7500 0.2500 0.5000  4 Pd 3.19
Cd: 0.0000 0.0000 0.0000  2 Pd 2.77
Pd: 0.3354 0.3354 0.0000  1 Pd 2.72, 1 Cd 2.77
Pd: 0.6646 0.6646 0.0000  1 Pd 2.72, 1 Cd 2.77

total energy = -3.423 eV per atom
calculated formation energy = -0.39 eV per atom


PdPbCl2: optimized geometry, PBE-GGA.

Cell: 9.1762 9.1762 9.1762 Å, 149.01 149.01 44.39°
Last column: nearest neighbours and their distance in Å.
Element x y z (fractional)
Pd: 0.0000 0.0000 0.0000  4 Cl 2.65
Pd: 0.7500 0.2500 0.5000  4 Cl 2.65
Pb: 0.2500 0.7500 0.5000  4 Cl 2.84
Pb: 0.5000 0.5000 0.0000  4 Cl 2.84
Cl: 0.0822 0.6250 0.9572  2 Pd 2.65, 2 Pb 2.84
Cl: 0.3750 0.3322 0.4572  2 Pd 2.65, 2 Pb 2.84
Cl: 0.6678 0.1250 0.0428  2 Pd 2.65, 2 Pb 2.84
Cl: 0.8750 0.9178 0.5428  2 Pd 2.65, 2 Pb 2.84

energy above the lowest structure with this stoichiometry = 0.0000 eV/atom
total energy = -3.522 eV per atom
E_form (uncorrected) = -0.374 eV/atom


Sb6PtAu2: optimized geometry, PBE-GGA.

Cell: 7.0231 7.0231 5.5737 Å, 90.00 90.00 120.00°
Last column: nearest neighbours and their distance in Å.
Element x y z (fractional)
Sb: 0.0000 0.3576 0.2975  1 Pt 2.75, 2 Au 2.80, 1 Sb 3.02
Sb: 0.0000 0.6424 0.7025  1 Pt 2.75, 2 Au 2.80, 1 Sb 3.02
Sb: 0.3576 0.0000 0.2975  1 Pt 2.75, 2 Au 2.80, 1 Sb 3.02
Sb: 0.3576 0.3576 0.7025  1 Pt 2.75, 2 Au 2.80, 1 Sb 3.02
Sb: 0.6424 0.0000 0.7025  1 Pt 2.75, 2 Au 2.80, 1 Sb 3.02
Sb: 0.6424 0.6424 0.2975  1 Pt 2.75, 2 Au 2.80, 1 Sb 3.02
Pt: 0.0000 0.0000 0.5000  6 Sb 2.75
Au: 0.3333 0.6667 0.0000  6 Sb 2.80
Au: 0.6667 0.3333 0.0000  6 Sb 2.80

total energy = -4.279 eV per atom
E_form (uncorrected) = -0.131 eV/atom


Pr6Sm2Dy3: optimized geometry, PBE-GGA.

Cell: 17.5914 17.5914 17.5914 Å, 164.34 164.34 22.22°
Last column: nearest neighbours and their distance in Å.
Element x y z (fractional)
Pr: 0.1205 0.6205 0.5000  4 Pr 3.39, 2 Dy 3.48, 2 Sm 3.55
Pr: 0.2070 0.2070 0.0000  5 Dy 3.42-3.43, 4 Pr 3.83
Pr: 0.3795 0.8795 0.5000  4 Pr 3.39, 2 Dy 3.48, 2 Sm 3.55
Pr: 0.6205 0.1205 0.5000  4 Pr 3.39, 2 Dy 3.48, 2 Sm 3.55
Pr: 0.7930 0.7930 0.0000  5 Dy 3.42-3.43, 4 Pr 3.83
Pr: 0.8795 0.3795 0.5000  4 Pr 3.39, 2 Dy 3.48, 2 Sm 3.55
Sm: 0.0446 0.0446 0.0000  1 Sm 3.08
Sm: 0.9554 0.9554 0.0000  1 Sm 3.08
Dy: 0.3064 0.3064 0.0000  9 Pr 3.42-3.48
Dy: 0.5000 0.5000 0.0000  8 Sm 3.72
Dy: 0.6936 0.6936 0.0000  9 Pr 3.42-3.48

energy above the lowest structure with this stoichiometry = 0.2702 eV/atom
total energy = -4.435 eV per atom
calculated formation energy = 0.29 eV per atom


Ba2CrAg: optimized geometry, PBE-GGA.

Cell: 8.7586 8.7586 8.7586 Å, 32.24 32.24 32.24°
Last column: nearest neighbours and their distance in Å.
Element x y z (fractional)
Ba: 0.2451 0.2451 0.2451  3 Ag 3.42, 3 Cr 3.56
Ba: 0.7549 0.7549 0.7549  3 Ag 3.42, 3 Cr 3.56
Cr: 0.0000 0.0000 0.0000  6 Ba 3.56
Ag: 0.5000 0.5000 0.5000  6 Ba 3.42

energy above the lowest structure with this stoichiometry = 0.2155 eV/atom
total energy = -3.632 eV per atom
calculated formation energy = 0.45 eV per atom


Nd5Tl4Ru: optimized geometry, PBE-GGA.

Cell: 3.5670 3.5670 22.0908 Å, 90.00 90.00 90.00°
Last column: nearest neighbours and their distance in Å.
Element x y z (fractional)
Nd: 0.0000 0.0000 0.0000  8 Tl 3.40, 4 Nd 3.57
Nd: 0.0000 0.0000 0.2062  8 Tl 3.40-3.41, 4 Nd 3.57
Nd: 0.0000 0.0000 0.4224  4 Ru 3.05
Nd: 0.0000 0.0000 0.5776  4 Ru 3.05
Nd: 0.0000 0.0000 0.7938  8 Tl 3.40-3.41, 4 Nd 3.57
Tl: 0.5000 0.5000 0.1031  8 Nd 3.40, 4 Tl 3.57
Tl: 0.5000 0.5000 0.3103  8 Nd 3.41-3.54, 4 Tl 3.57
Tl: 0.5000 0.5000 0.6897  8 Nd 3.41-3.54, 4 Tl 3.57
Tl: 0.5000 0.5000 0.8969  8 Nd 3.40, 4 Tl 3.57
Ru: 0.5000 0.5000 0.5000  8 Nd 3.05

total energy = -4.601 eV per atom
calculated formation energy = -0.34 eV per atom


NdSmGe: optimized geometry, PBE-GGA.

Cell: 4.7919 4.7919 4.3041 Å, 90.00 90.00 120.00°
Last column: nearest neighbours and their distance in Å.
Element x y z (fractional)
Nd: 0.0000 0.0000 0.0000  3 Ge 3.12, 3 Sm 3.41
Sm: 0.6667 0.3333 0.4613  3 Ge 2.90
Ge: 0.3333 0.6667 0.6642  3 Sm 2.90, 3 Nd 3.12

energy above the lowest structure with this stoichiometry = 0.2212 eV/atom
total energy = -5.090 eV per atom
calculated formation energy = -0.39 eV per atom


CsTlS14: optimized geometry, PBE-GGA.

Cell: 11.0498 11.0498 13.5557 Å, 113.28 113.28 49.97°
Last column: nearest neighbours and their distance in Å.
Element x y z (fractional)
Cs: 0.1277 0.8723 0.7500  2 S 3.49
Cs: 0.8723 0.1277 0.2500  2 S 3.49
Tl: 0.0000 0.5000 0.0000  4 S 3.10-3.45
Tl: 0.5000 0.0000 0.5000  4 S 3.10-3.45
S: 0.0371 0.7754 0.0515  1 S 2.04
S: 0.0787 0.5196 0.6625  2 S 2.05-2.12
S: 0.1299 0.2437 0.7565  2 S 2.04-2.11
S: 0.1462 0.2876 0.6260  2 S 2.05-2.11
S: 0.1772 0.3325 0.3773  2 S 2.04-2.12
S: 0.2246 0.9629 0.4485  1 S 2.04
S: 0.2437 0.1299 0.2565  2 S 2.04-2.11
S: 0.2727 0.5847 0.0504  2 S 2.04-2.06
S: 0.2876 0.1462 0.1260  2 S 2.05-2.11
S: 0.3325 0.1772 0.8773  2 S 2.04-2.12
S: 0.3918 0.4936 0.1917  2 S 2.06-2.15
S: 0.4153 0.7273 0.4496  2 S 2.04-2.06
S: 0.4804 0.9213 0.8375  2 S 2.05-2.12
S: 0.4936 0.3918 0.6917  2 S 2.06-2.15
S: 0.5064 0.6082 0.3083  2 S 2.06-2.15
S: 0.5196 0.0787 0.1625  2 S 2.05-2.12
S: 0.5847 0.2727 0.5504  2 S 2.04-2.06
S: 0.6082 0.5064 0.8083  2 S 2.06-2.15
S: 0.6675 0.8228 0.1227  2 S 2.04-2.12
S: 0.7124 0.8538 0.8740  2 S 2.05-2.11
S: 0.7273 0.4153 0.9496  2 S 2.04-2.06
S: 0.7563 0.8701 0.7435  2 S 2.04-2.11
S: 0.7754 0.0371 0.5515  1 S 2.04
S: 0.8228 0.6675 0.6227  2 S 2.04-2.12
S: 0.8538 0.7124 0.3740  2 S 2.05-2.11
S: 0.8701 0.7563 0.2435  2 S 2.04-2.11
S: 0.9213 0.4804 0.3375  2 S 2.05-2.12
S: 0.9629 0.2246 0.9485  1 S 2.04

total energy = -3.918 eV per atom
E_form (uncorrected) = -0.105 eV/atom